[1]
DFT (PBE) results for an optimized crystal structure of Cu2AsN4.

The energy relative to the elements, uncorrected is 1.54 eV per atom. As for the crystal system: tetragonal. For the total energy, the calculation gives -5.0527 eV/atom.

The structure belongs to space group I4/mmm (No. 139); the cell edges are 3.915, 3.915 and 9.925 Å and the angles 90.00°, 90.00° and 90.00°. The asymmetric unit holds Cu at (0.000, 0.000, 0.127), As at (0.000, 0.000, 0.500), N at (0.000, 0.000, 0.310) and N at (0.000, 0.500, 0.000).

[2]
DFT (PBE) results for an optimized crystal structure of KPrCN2.

The energy relative to the elements, uncorrected is -0.38 eV per atom. As for the crystal system: orthorhombic. For the total energy, the calculation gives -6.7340 eV/atom.

The structure belongs to space group Pmmm (No. 47); the cell edges are 3.458, 4.618 and 6.330 Å and the angles 90.00°, 90.00° and 90.00°. The asymmetric unit holds K at (0.000, 0.000, 0.000), Pr at (0.000, 0.500, 0.500), C at (0.500, 0.500, 0.000) and N at (0.500, 0.500, 0.196).

[3]
DFT (PBE) results for an optimized crystal structure of PuCu2RhO6.

The energy relative to the elements, uncorrected is -1.32 eV per atom. As for the crystal system: trigonal. For the total energy, the calculation gives -7.2799 eV/atom.

The structure belongs to space group R-3 (No. 148, hexagonal axes); the cell edges are 5.2849, 5.2849 and 14.5646 Å and the angles 90.00°, 90.00° and 120.00°. The asymmetric unit holds Pu at (0.0000, 0.0000, 0.0000), Cu at (0.0000, 0.0000, 0.2498), Rh at (0.0000, 0.0000, 0.5000) and O at (0.0076, 0.3672, 0.2474).

Copy entry 1 word for word.
DFT (PBE) results for an optimized crystal structure of Cu2AsN4.

The energy relative to the elements, uncorrected is 1.54 eV per atom. As for the crystal system: tetragonal. For the total energy, the calculation gives -5.0527 eV/atom.

The structure belongs to space group I4/mmm (No. 139); the cell edges are 3.915, 3.915 and 9.925 Å and the angles 90.00°, 90.00° and 90.00°. The asymmetric unit holds Cu at (0.000, 0.000, 0.127), As at (0.000, 0.000, 0.500), N at (0.000, 0.000, 0.310) and N at (0.000, 0.500, 0.000).

Question: What is the energy relative to the elements, uncorrected in the third record?
Answer: -1.32 eV per atom

Question: Which of these has the lowest energy relative to the elements, uncorrected?
Answer: PuCu2RhO6

Question: Which value of energy relative to the elements, uncorrected does entry 1 give?
Answer: 1.54 eV per atom